*one*
Below is SrCa2Sc after structural relaxation, with properties calculated at the PBE-GGA level.

```
SrCa2Sc
1.0
6.552 -0.037 0.000
2.106 6.205 0.000
-4.329 -3.084 3.832
Sc Sr Ca
1 1 2
Direct
0.250 0.750 0.500 Sc
0.750 0.250 0.500 Sr
0.000 0.000 0.000 Ca
0.500 0.500 0.000 Ca
```

Summary:
Size of the total moment, μB/cell: 0.94
Calculated volume, Å³ per cell: 156.1
Density of states at the Fermi level, states/eV/f.u.: 8.0

*two*
Below is SrCa2Sc after structural relaxation, with properties calculated at the PBE-GGA level.

```
SrCa2Sc
1.0
-3.440 -5.365 3.382
1.700 -1.415 6.868
-2.526 4.767 -4.790
Sc Sr Ca
1 1 2
Direct
0.750 0.250 0.500 Sc
0.250 0.750 0.500 Sr
0.979 0.979 0.000 Ca
0.521 0.521 0.000 Ca
```

Summary:
Size of the total moment, μB/cell: 0.47
Calculated volume, Å³ per cell: 154.0
Density of states at the Fermi level, states/eV/f.u.: 5.8

Most stable: *two*. Least stable: *one*.